DFT (PBEsol) results for an optimized crystal structure of InReSb2.

Cell lengths 4.899, 4.899, 3.445 Å; angles 90.00, 90.00, 90.00 degrees
Space group P4/mmm (No. 123)
Asymmetric unit:
1 In 0.000 0.000 0.000 x1
2 Re 0.500 0.500 0.000 x1
3 Sb 0.000 0.500 0.500 x2

Summary:
Formation energy from raw total energies (eV per atom): 0.804

DFT (PBEsol) results for an optimized crystal structure of Y2InReSb.

Cell lengths 5.517, 5.517, 5.175 Å; angles 90.00, 90.00, 90.00 degrees
Space group P4/mmm (No. 123)
Asymmetric unit:
1 Y 0.000 0.500 0.000 x2
2 In 0.000 0.000 0.000 x1
3 Re 0.500 0.500 0.500 x1
4 Sb 0.000 0.000 0.500 x1

Summary:
Formation energy from raw total energies (eV per atom): 1.514

DFT (PBEsol) results for an optimized crystal structure of ScIn2Re.

Cell lengths 5.757, 8.972, 2.910 Å; angles 90.00, 98.84, 90.00 degrees
Space group C2/m (No. 12)
Asymmetric unit:
1 Sc 0.000 0.000 0.000 x2
2 In 0.250 0.250 0.500 x4
3 Re 0.000 0.500 0.000 x2

Summary:
Distance to the lowest polymorph of the same formula (eV per formula unit): 0.457
Calculated formation energy (eV per atom): 0.19

DFT (PBEsol) results for an optimized crystal structure of ScInRe3.

Cell lengths 4.576, 4.576, 4.576 Å; angles 90.00, 90.00, 90.00 degrees
Space group Pm-3m (No. 221)
Asymmetric unit:
1 Sc 0.000 0.000 0.000 x1
2 In 0.500 0.500 0.500 x1
3 Re 0.000 0.000 0.500 x3

Summary:
Calculated formation energy (eV per atom): 2.33

DFT (PBEsol) results for an optimized crystal structure of Sc2InRe.

Cell lengths 4.542, 4.542, 3.589 Å; angles 90.00, 90.00, 90.00 degrees
Space group P4/mmm (No. 123)
Asymmetric unit:
1 Sc 0.000 0.500 0.000 x2
2 In 0.000 0.000 0.500 x1
3 Re 0.500 0.500 0.500 x1

Summary:
Calculated formation energy (eV per atom): -0.18

DFT (PBEsol) results for an optimized crystal structure of Sc2InRe.

Cell lengths 3.516, 4.580, 9.430 Å; angles 90.00, 90.00, 90.00 degrees
Space group Imm2 (No. 44)
Asymmetric unit:
1 Sc 0.000 0.000 0.000 x2
2 Sc 0.000 0.500 0.227 x2
3 In 0.000 0.500 0.765 x2
4 Re 0.000 0.000 0.498 x2

Summary:
Calculated formation energy (eV per atom): -0.08

DFT (PBEsol) results for an optimized crystal structure of ScIn2Re.

Cell lengths 3.548, 3.548, 6.065 Å; angles 90.00, 90.00, 90.00 degrees
Space group P4mm (No. 99)
Asymmetric unit:
1 Sc 0.000 0.000 0.000 x1
2 In 0.000 0.000 0.545 x1
3 In 0.500 0.500 0.280 x1
4 Re 0.500 0.500 0.790 x1

Summary:
Distance to the lowest polymorph of the same formula (eV per formula unit): 0.000
Calculated formation energy (eV per atom): 0.08

DFT (PBEsol) results for an optimized crystal structure of In2ReSe.

Cell lengths 3.060, 5.251, 10.243 Å; angles 90.00, 90.00, 90.00 degrees
Space group Cmm2 (No. 35)
Asymmetric unit:
1 In 0.000 0.000 0.000 x2
2 In 0.000 0.500 0.278 x2
3 Re 0.000 0.500 0.767 x2
4 Se 0.000 0.000 0.582 x2

Summary:
Formation energy from raw total energies (eV per atom): 0.400

DFT (PBEsol) results for an optimized crystal structure of In2ReSe.

Cell lengths 3.463, 3.463, 6.291 Å; angles 90.00, 90.00, 90.00 degrees
Space group P4/mmm (No. 123)
Asymmetric unit:
1 In 0.000 0.000 0.231 x2
2 Re 0.500 0.500 0.000 x1
3 Se 0.500 0.500 0.500 x1

Summary:
Formation energy from raw total energies (eV per atom): 0.454

DFT (PBEsol) results for an optimized crystal structure of InRe2Se.

Cell lengths 3.032, 4.522, 9.735 Å; angles 90.00, 90.00, 90.00 degrees
Space group Imm2 (No. 44)
Asymmetric unit:
1 In 0.000 0.000 0.000 x2
2 Re 0.000 0.000 0.487 x2
3 Re 0.000 0.500 0.212 x2
4 Se 0.000 0.500 0.774 x2

Summary:
Formation energy from raw total energies (eV per atom): 0.630

DFT (PBEsol) results for an optimized crystal structure of InReSe2.

Cell lengths 3.073, 3.081, 17.777 Å; angles 90.00, 90.00, 90.00 degrees
Space group Imm2 (No. 44)
Asymmetric unit:
1 In 0.000 0.000 0.000 x2
2 Re 0.000 0.500 0.745 x2
3 Se 0.000 0.000 0.352 x2
4 Se 0.000 0.500 0.169 x2

Summary:
Formation energy from raw total energies (eV per atom): 0.036

DFT (PBEsol) results for an optimized crystal structure of InReSe.

Cell lengths 6.233, 6.233, 6.233 Å; angles 90.00, 90.00, 90.00 degrees
Space group F-43m (No. 216)
Asymmetric unit:
1 In 0.000 0.000 0.000 x4
2 Re 0.250 0.250 0.750 x4
3 Se 0.000 0.000 0.500 x4

Summary:
Formation energy from raw total energies (eV per atom): 0.788
Distance to the lowest polymorph of the same formula (eV per formula unit): 1.742

DFT (PBEsol) results for an optimized crystal structure of InReSe2.

Cell lengths 4.729, 4.729, 3.161 Å; angles 90.00, 90.00, 90.00 degrees
Space group P4/mmm (No. 123)
Asymmetric unit:
1 In 0.000 0.000 0.000 x1
2 Re 0.500 0.500 0.000 x1
3 Se 0.000 0.500 0.500 x2

Summary:
Formation energy from raw total energies (eV per atom): 0.627

DFT (PBEsol) results for an optimized crystal structure of In2ReSe.

Cell lengths 6.699, 6.699, 6.699 Å; angles 90.00, 90.00, 90.00 degrees
Space group F-43m (No. 216)
Asymmetric unit:
1 In 0.000 0.000 0.000 x4
2 In 0.250 0.250 0.250 x4
3 Re 0.250 0.250 0.750 x4
4 Se 0.000 0.000 0.500 x4

Summary:
Formation energy from raw total energies (eV per atom): 0.762

DFT (PBEsol) results for an optimized crystal structure of InReSe.

Cell lengths 3.1703, 3.1703, 6.3623 Å; angles 90.00, 90.00, 120.00 degrees
Space group P3m1 (No. 156)
Asymmetric unit:
1 In 0.0000 0.0000 0.0000 x1
2 Re 0.3333 0.6667 0.6570 x1
3 Se 0.6667 0.3333 0.3978 x1

Summary:
Formation energy from raw total energies (eV per atom): 0.207
Distance to the lowest polymorph of the same formula (eV per formula unit): 0.000

DFT (PBEsol) results for an optimized crystal structure of InReSe.

Cell lengths 3.020, 3.020, 12.598 Å; angles 90.00, 90.00, 90.00 degrees
Space group I4mm (No. 107)
Asymmetric unit:
1 In 0.000 0.000 0.000 x2
2 Re 0.000 0.000 0.665 x2
3 Se 0.000 0.000 0.271 x2

Summary:
Formation energy from raw total energies (eV per atom): 0.228
Distance to the lowest polymorph of the same formula (eV per formula unit): 0.064

DFT (PBEsol) results for an optimized crystal structure of InReSe2.

Cell lengths 5.238, 3.314, 5.439 Å; angles 90.00, 116.37, 90.00 degrees
Space group P2/m (No. 10)
Asymmetric unit:
1 In 0.000 0.000 0.000 x1
2 Re 0.000 0.000 0.500 x1
3 Se 0.389 0.500 0.676 x2

Summary:
Formation energy from raw total energies (eV per atom): 0.113

DFT (PBEsol) results for an optimized crystal structure of SrIn2ReSe.

Cell lengths 5.122, 5.122, 5.588 Å; angles 90.00, 90.00, 90.00 degrees
Space group P4/mmm (No. 123)
Asymmetric unit:
1 Sr 0.000 0.000 0.000 x1
2 In 0.000 0.500 0.500 x2
3 Re 0.000 0.000 0.500 x1
4 Se 0.500 0.500 0.000 x1

Summary:
Formation energy from raw total energies (eV per atom): 0.455

DFT (PBEsol) results for an optimized crystal structure of InRe2Si.

Cell lengths 3.068, 4.250, 9.444 Å; angles 90.00, 90.00, 90.00 degrees
Space group Imm2 (No. 44)
Asymmetric unit:
1 In 0.000 0.000 0.000 x2
2 Re 0.000 0.000 0.532 x2
3 Re 0.000 0.500 0.786 x2
4 Si 0.000 0.500 0.237 x2

Summary:
Formation energy from raw total energies (eV per atom): 0.371
Distance to the lowest polymorph of the same formula (eV per formula unit): 0.858

DFT (PBEsol) results for an optimized crystal structure of InRe2Si.

Cell lengths 6.200, 6.200, 6.200 Å; angles 90.00, 90.00, 90.00 degrees
Space group Fm-3m (No. 225)
Asymmetric unit:
1 In 0.000 0.000 0.000 x4
2 Re 0.250 0.250 0.250 x8
3 Si 0.000 0.000 0.500 x4

Summary:
Formation energy from raw total energies (eV per atom): 0.455
Distance to the lowest polymorph of the same formula (eV per formula unit): 1.192

DFT (PBEsol) results for an optimized crystal structure of InRe2Si.

Cell lengths 2.914, 3.889, 5.618 Å; angles 90.00, 101.73, 90.00 degrees
Space group P2/m (No. 10)
Asymmetric unit:
1 In 0.000 0.000 0.000 x1
2 Re 0.359 0.500 0.713 x2
3 Si 0.000 0.000 0.500 x1

Summary:
Formation energy from raw total energies (eV per atom): 0.288
Distance to the lowest polymorph of the same formula (eV per formula unit): 0.526

DFT (PBEsol) results for an optimized crystal structure of InRe2Si.

Cell lengths 3.004, 3.004, 6.746 Å; angles 90.00, 90.00, 90.00 degrees
Space group P4/mmm (No. 123)
Asymmetric unit:
1 In 0.000 0.000 0.000 x1
2 Re 0.500 0.500 0.302 x2
3 Si 0.000 0.000 0.500 x1

Summary:
Formation energy from raw total energies (eV per atom): 0.157
Distance to the lowest polymorph of the same formula (eV per formula unit): 0.000

DFT (PBEsol) results for an optimized crystal structure of SrIn2Re.

Cell lengths 4.504, 4.504, 4.403 Å; angles 90.00, 90.00, 90.00 degrees
Space group P4/mmm (No. 123)
Asymmetric unit:
1 Sr 0.000 0.000 0.000 x1
2 In 0.000 0.500 0.500 x2
3 Re 0.500 0.500 0.000 x1

Summary:
Calculated formation energy (eV per atom): 0.66

DFT (PBEsol) results for an optimized crystal structure of Sr2InRe.

Cell lengths 3.116, 3.116, 10.175 Å; angles 90.00, 90.00, 90.00 degrees
Space group P4/mmm (No. 123)
Asymmetric unit:
1 Sr 0.000 0.000 0.230 x2
2 In 0.500 0.500 0.500 x1
3 Re 0.500 0.500 0.000 x1

Summary:
Calculated formation energy (eV per atom): 0.64

DFT (PBEsol) results for an optimized crystal structure of SrInRe2.

Cell lengths 2.858, 4.531, 6.500 Å; angles 90.00, 90.00, 90.00 degrees
Space group Pmmm (No. 47)
Asymmetric unit:
1 Sr 0.000 0.000 0.000 x1
2 In 0.000 0.000 0.500 x1
3 Re 0.500 0.500 0.322 x2

Summary:
Calculated formation energy (eV per atom): 0.84

DFT (PBEsol) results for an optimized crystal structure of Sr2InRe.

Cell lengths 3.3675, 3.3675, 31.9018 Å; angles 90.00, 90.00, 120.00 degrees
Space group R-3m (No. 166, hexagonal axes)
Asymmetric unit:
1 Sr 0.0000 0.0000 0.2411 x6
2 In 0.0000 0.0000 0.0000 x3
3 Re 0.0000 0.0000 0.5000 x3

Summary:
Calculated formation energy (eV per atom): 0.83

DFT (PBEsol) results for an optimized crystal structure of Sr2InRe.

Cell lengths 6.791, 9.702, 3.008 Å; angles 90.00, 90.00, 90.00 degrees
Space group Cmmm (No. 65)
Asymmetric unit:
1 Sr 0.250 0.250 0.000 x4
2 In 0.000 0.000 0.500 x2
3 Re 0.000 0.500 0.500 x2

Summary:
Calculated formation energy (eV per atom): 0.72

DFT (PBEsol) results for an optimized crystal structure of SrInReTe2.

Cell lengths 5.168, 5.168, 5.803 Å; angles 90.00, 90.00, 90.00 degrees
Space group P4/mmm (No. 123)
Asymmetric unit:
1 Sr 0.000 0.000 0.000 x1
2 In 0.500 0.500 0.000 x1
3 Re 0.000 0.000 0.500 x1
4 Te 0.000 0.500 0.500 x2

Summary:
Formation energy from raw total energies (eV per atom): 0.357

DFT (PBEsol) results for an optimized crystal structure of TaInRe.

Cell lengths 3.178, 4.842, 13.785 Å; angles 90.00, 90.00, 90.00 degrees
Space group Fmm2 (No. 42)
Asymmetric unit:
1 Ta 0.000 0.000 0.000 x4
2 In 0.000 0.000 0.680 x4
3 Re 0.000 0.000 0.352 x4

Summary:
Calculated formation energy (eV per atom): 0.23

DFT (PBEsol) results for an optimized crystal structure of TaIn2Re.

Cell lengths 6.560, 6.560, 6.560 Å; angles 90.00, 90.00, 90.00 degrees
Space group Fm-3m (No. 225)
Asymmetric unit:
1 Ta 0.000 0.000 0.000 x4
2 In 0.250 0.250 0.250 x8
3 Re 0.000 0.000 0.500 x4

Summary:
Distance to the lowest polymorph of the same formula (eV per formula unit): 0.202
Calculated formation energy (eV per atom): 0.59

DFT (PBEsol) results for an optimized crystal structure of TaIn2Re.

Cell lengths 2.883, 2.883, 8.666 Å; angles 90.00, 90.00, 90.00 degrees
Space group P4/mmm (No. 123)
Asymmetric unit:
1 Ta 0.000 0.000 0.000 x1
2 In 0.500 0.500 0.261 x2
3 Re 0.000 0.000 0.500 x1

Summary:
Distance to the lowest polymorph of the same formula (eV per formula unit): 0.000
Calculated formation energy (eV per atom): 0.54